12
Lattice="2.715 -8.107 0.000 2.715 8.107 0.000 -0.031 0.000 8.052" Properties=species:S:1:pos:R:3 comment="PBE Tl6Hg5Sb, optimized geometry" magnetic_moment_mub_per_fu=0.00 crystal_system=monoclinic e_tot_ev_per_atom=-1.6640 spacegroup="C2/m (12)" pbc="T T T"
Tl 5.422 0.000 1.944
Tl -0.023 0.000 6.109
Tl 2.707 2.663 2.030
Tl 2.692 2.663 6.022
Tl 2.707 -2.663 2.030
Tl 2.692 -2.663 6.022
Hg 2.699 5.423 4.026
Hg 2.715 5.355 0.000
Hg 2.699 0.000 4.026
Hg 2.715 -5.355 0.000
Hg 2.699 -5.423 4.026
Sb 2.715 0.000 0.000